1.
Crystalline Nd2Sn2O7 at its relaxed geometry, computed with PBE.

a b c (Å): 10.737 10.737 10.737
angles (deg): 90.00 90.00 90.00
Space group Fd-3m (No. 227, origin choice 2)
One atom of each set of equivalent atoms:
Nd 0.000 0.000 0.000 x16
Sn 0.000 0.000 0.500 x16
O 0.117 0.375 0.875 x48
O 0.125 0.125 0.625 x8

2.
Crystalline Nd2Sn2O7 at its relaxed geometry, computed with PBE.

a b c (Å): 10.713 10.713 10.713
angles (deg): 90.00 90.00 90.00
Space group Fd-3m (No. 227, origin choice 2)
One atom of each set of equivalent atoms:
Nd 0.000 0.000 0.000 x16
Sn 0.000 0.000 0.500 x16
O 0.084 0.375 0.875 x48
O 0.125 0.125 0.125 x8

3.
Crystalline Nd12Sn3O5 at its relaxed geometry, computed with PBE.

a b c (Å): 16.184 16.184 16.184
angles (deg): 90.00 90.00 90.00
Space group Ia-3d (No. 230)
One atom of each set of equivalent atoms:
Nd 0.039 0.050 0.648 x96
Sn 0.000 0.250 0.125 x24
O 0.000 0.000 0.000 x16
O 0.000 0.250 0.375 x24

4.
Crystalline NdSnO2 at its relaxed geometry, computed with PBE.

a b c (Å): 3.6674 3.6674 20.4656
angles (deg): 90.00 90.00 120.00
Space group R-3m (No. 166, hexagonal axes)
One atom of each set of equivalent atoms:
Nd 0.0000 0.0000 0.0000 x3
Sn 0.0000 0.0000 0.5000 x3
O 0.0000 0.0000 0.1126 x6

| no. | E (eV per cell) |
| --- | --- |
| 1 | -590.4 |
| 2 | -640.7 |
| 3 | -1006.0 |
| 4 | -71.8 |